Density functional theory data (PBEsol) for NaGe3N after structural relaxation.

Calculated values
- final energy (eV/cell) = -14.3
- space group = Pm-3m, No. 221
- total magnetic moment (μB per cell) = 1.9
- raw formation energy (eV per atom) = 2.089
- density of states at the Fermi level (states/eV/atom) = 0.7307

a b c (Å): 4.9747 4.9747 4.9747
angles (deg): 90.00 90.00 90.00
With the nearest neighbours (Å) after each atom.
Fractional positions:
N1 0.5000 0.5000 0.5000  12 Ge 3.52
Ge1 0.0000 0.0000 0.5000  2 Na 2.49
Ge2 0.5000 0.0000 0.0000  2 Na 2.49
Ge3 0.0000 0.5000 0.0000  2 Na 2.49
Na1 0.0000 0.0000 0.0000  6 Ge 2.49